1.
An optimized crystal structure of CeTmPd4. Source: the Alexandria database, functional PBE.

abc: 5.4563 5.4563 5.4563
angles: 60.00 60.00 60.00
Last column: nearest neighbours and their distance in Å.
Atoms (fractional coordinates):
Ce  0.0000  0.0000  0.0000  12 Pd 3.20, 4 Tm 3.34
Tm  0.2500  0.2500  0.2500  12 Pd 3.20, 4 Ce 3.34
Pd  0.1262  0.6246  0.6246  6 Pd 2.72-2.74
Pd  0.6246  0.1262  0.6246  6 Pd 2.72-2.74
Pd  0.6246  0.6246  0.1262  6 Pd 2.72-2.74
Pd  0.6246  0.6246  0.6246  6 Pd 2.72-2.74

Results
total energy: -35.7 eV per formula unit
energy above the most stable polymorph in this dataset: 86 meV per atom
M_tot: 0.166 μB per atom

2.
An optimized crystal structure of CeAs3Rh3. Source: the Alexandria database, functional PBE.

abc: 6.7072 6.7072 6.7072
angles: 90.00 90.00 90.00
Last column: nearest neighbours and their distance in Å.
Atoms (fractional coordinates):
Ce  0.0000  0.0000  0.0000  12 As 3.75, 12 Rh 3.75
Ce  0.5000  0.5000  0.5000  12 As 3.75, 12 Rh 3.75
As  0.0000  0.2500  0.5000  4 Rh 2.37
As  0.0000  0.7500  0.5000  4 Rh 2.37
As  0.2500  0.5000  0.0000  4 Rh 2.37
As  0.5000  0.0000  0.2500  4 Rh 2.37
As  0.5000  0.0000  0.7500  4 Rh 2.37
As  0.7500  0.5000  0.0000  4 Rh 2.37
Rh  0.0000  0.5000  0.2500  4 As 2.37
Rh  0.0000  0.5000  0.7500  4 As 2.37
Rh  0.2500  0.0000  0.5000  4 As 2.37
Rh  0.5000  0.2500  0.0000  4 As 2.37
Rh  0.5000  0.7500  0.0000  4 As 2.37
Rh  0.7500  0.0000  0.5000  4 As 2.37

Results
total energy: -44.9 eV per formula unit
M_tot: 0.208 μB per atom

3.
An optimized crystal structure of PdSCl2O. Source: the Alexandria database, functional PBE.

abc: 5.6716 5.6716 3.2678
angles: 90.00 90.00 90.00
Last column: nearest neighbours and their distance in Å.
Atoms (fractional coordinates):
Pd  0.0000  0.0000  0.0000  2 Pd 3.27, 8 Cl 3.27
S  0.5000  0.5000  0.0000  2 O 1.63
Cl  0.0000  0.5000  0.5000  2 O 2.84
Cl  0.5000  0.0000  0.5000  2 O 2.84
O  0.5000  0.5000  0.5000  2 S 1.63

Results
E_form (uncorrected): 601 meV per atom
total energy: -15.0 eV per formula unit
energy above the most stable polymorph in this dataset: 0 meV per atom
M_tot: 0.293 μB per atom

4.
An optimized crystal structure of TePd2RuPt. Source: the Alexandria database, functional PBE.

abc: 4.8337 4.8337 4.7592
angles: 90.00 90.00 90.00
Last column: nearest neighbours and their distance in Å.
Atoms (fractional coordinates):
Te  0.0000  0.0000  0.0000  8 Pd 3.39, 4 Pt 3.42
Pd  0.0000  0.5000  0.5000  2 Ru 2.42
Pd  0.5000  0.0000  0.5000  2 Ru 2.42
Ru  0.5000  0.5000  0.5000  2 Pt 2.38, 4 Pd 2.42
Pt  0.5000  0.5000  0.0000  2 Ru 2.38

Results
E_form (uncorrected): 1065 meV per atom
total energy: -23.5 eV per formula unit
M_tot: 0.126 μB per atom

5.
An optimized crystal structure of AcSm4Ir4. Source: the Alexandria database, functional PBE.

abc: 9.2266 9.2266 5.7429
angles: 90.00 90.00 90.00
Last column: nearest neighbours and their distance in Å.
Atoms (fractional coordinates):
Ac  0.2500  0.2500  0.2500  4 Ir 3.02
Ac  0.7500  0.7500  0.7500  4 Ir 3.02
Sm  0.0848  0.6520  0.1502  5 Ir 2.85-2.98
Sm  0.1520  0.9152  0.6502  5 Ir 2.85-2.98
Sm  0.3480  0.5848  0.6502  5 Ir 2.85-2.98
Sm  0.4152  0.8480  0.1502  5 Ir 2.85-2.98
Sm  0.5848  0.1520  0.8498  5 Ir 2.85-2.98
Sm  0.6520  0.4152  0.3498  5 Ir 2.85-2.98
Sm  0.8480  0.0848  0.3498  5 Ir 2.85-2.98
Sm  0.9152  0.3480  0.8498  5 Ir 2.85-2.98
Ir  0.0403  0.6125  0.6490  1 Ir 2.79, 5 Sm 2.85-2.98, 1 Ac 3.02
Ir  0.1125  0.9597  0.1490  1 Ir 2.79, 5 Sm 2.85-2.98, 1 Ac 3.02
Ir  0.3875  0.5403  0.1490  1 Ir 2.79, 5 Sm 2.85-2.98, 1 Ac 3.02
Ir  0.4597  0.8875  0.6490  1 Ir 2.79, 5 Sm 2.85-2.98, 1 Ac 3.02
Ir  0.5403  0.1125  0.3510  1 Ir 2.79, 5 Sm 2.85-2.98, 1 Ac 3.02
Ir  0.6125  0.4597  0.8510  1 Ir 2.79, 5 Sm 2.85-2.98, 1 Ac 3.02
Ir  0.8875  0.0403  0.8510  1 Ir 2.79, 5 Sm 2.85-2.98, 1 Ac 3.02
Ir  0.9597  0.3875  0.3510  1 Ir 2.79, 5 Sm 2.85-2.98, 1 Ac 3.02

Results
total energy: -63.6 eV per formula unit
M_tot: 0.000 μB per atom

6.
An optimized crystal structure of AcGa3Ag3. Source: the Alexandria database, functional PBE.

abc: 7.4796 4.5636 9.2776
angles: 90.00 107.85 90.00
Last column: nearest neighbours and their distance in Å.
Atoms (fractional coordinates):
Ac  0.1069  0.2500  0.3242  9 Ga 3.33-3.52, 5 Ag 3.51-3.73
Ac  0.8931  0.7500  0.6758  9 Ga 3.33-3.52, 5 Ag 3.51-3.73
Ga  0.1031  0.2500  0.9558  5 Ag 2.60-2.84
Ga  0.2971  0.7500  0.5941  3 Ga 2.58-2.89, 3 Ag 2.73-2.76
Ga  0.4599  0.7500  0.3854  3 Ga 2.58-2.89, 2 Ag 2.64-2.68
Ga  0.5401  0.2500  0.6146  3 Ga 2.58-2.89, 2 Ag 2.64-2.68
Ga  0.7029  0.2500  0.4059  3 Ga 2.58-2.89, 3 Ag 2.73-2.76
Ga  0.8969  0.7500  0.0442  5 Ag 2.60-2.84
Ag  0.2653  0.7500  0.0956  4 Ga 2.64-2.72, 3 Ag 2.85-2.93
Ag  0.2672  0.2500  0.7464  4 Ga 2.60-2.73
Ag  0.4974  0.2500  0.1032  2 Ga 2.76-2.84, 7 Ag 2.85-2.99
Ag  0.5026  0.7500  0.8968  2 Ga 2.76-2.84, 7 Ag 2.85-2.99
Ag  0.7328  0.7500  0.2536  4 Ga 2.60-2.73
Ag  0.7347  0.2500  0.9044  4 Ga 2.64-2.72, 3 Ag 2.85-2.93

Results
total energy: -23.6 eV per formula unit
energy above the most stable polymorph in this dataset: 0 meV per atom
M_tot: 0.000 μB per atom

7.
An optimized crystal structure of BaLi2Mo. Source: the Alexandria database, functional PBE.

abc: 5.8954 5.8954 5.8954
angles: 142.47 126.20 67.44
Last column: nearest neighbours and their distance in Å.
Atoms (fractional coordinates):
Ba  0.0000  0.0000  0.0000  8 Li 3.27-3.47, 4 Mo 3.34-3.43
Li  0.2743  0.7743  0.5000  2 Li 2.93
Li  0.5017  0.5017  0.0000  2 Mo 2.86, 2 Li 2.93
Mo  0.7198  0.2198  0.5000  2 Li 2.86

Results
total energy: -13.1 eV per formula unit
energy above the most stable polymorph in this dataset: 143 meV per atom
M_tot: 0.690 μB per atom

8.
An optimized crystal structure of MgMoBr2. Source: the Alexandria database, functional PBE.

abc: 10.3308 10.3308 10.3308
angles: 18.42 18.42 18.42
Last column: nearest neighbours and their distance in Å.
Atoms (fractional coordinates):
Mg  0.0000  0.0000  0.0000  6 Mg 3.31
Mo  0.5000  0.5000  0.5000  6 Br 2.64
Br  0.2267  0.2267  0.2267  3 Mo 2.64
Br  0.7733  0.7733  0.7733  3 Mo 2.64

Results
E_form (uncorrected): 89 meV per atom
total energy: -15.4 eV per formula unit
energy above the most stable polymorph in this dataset: 313 meV per atom
M_tot: 0.000 μB per atom

9.
An optimized crystal structure of SmTm4Th. Source: the Alexandria database, functional PBE.

abc: 8.4327 8.4327 6.5605
angles: 100.20 100.20 117.47
Last column: nearest neighbours and their distance in Å.
Atoms (fractional coordinates):
Sm  0.0869  0.9131  0.7500  10 Tm 3.54-3.94
Sm  0.9131  0.0869  0.2500  10 Tm 3.54-3.94
Tm  0.0720  0.3352  0.8773  3 Tm 3.31-3.38, 2 Th 3.45-3.54, 2 Sm 3.54-3.57
Tm  0.2141  0.6004  0.4681  2 Th 3.30-3.34, 4 Tm 3.31-3.50, 2 Sm 3.62-3.69
Tm  0.3352  0.0720  0.3773  3 Tm 3.31-3.38, 2 Th 3.45-3.54, 2 Sm 3.54-3.57
Tm  0.3996  0.7859  0.0319  2 Th 3.30-3.34, 4 Tm 3.31-3.50, 2 Sm 3.62-3.69
Tm  0.6004  0.2141  0.9681  2 Th 3.30-3.34, 4 Tm 3.31-3.50, 2 Sm 3.62-3.69
Tm  0.6648  0.9280  0.6227  3 Tm 3.31-3.38, 2 Th 3.45-3.54, 2 Sm 3.54-3.57
Tm  0.7859  0.3996  0.5319  2 Th 3.30-3.34, 4 Tm 3.31-3.50, 2 Sm 3.62-3.69
Tm  0.9280  0.6648  0.1227  3 Tm 3.31-3.38, 2 Th 3.45-3.54, 2 Sm 3.54-3.57
Th  0.4989  0.5011  0.2500  2 Th 3.28, 8 Tm 3.30-3.54
Th  0.5011  0.4989  0.7500  2 Th 3.28, 8 Tm 3.30-3.54

Results
total energy: -29.1 eV per formula unit
energy above the most stable polymorph in this dataset: 132 meV per atom
M_tot: 0.000 μB per atom

10.
An optimized crystal structure of Pr4AlPb. Source: the Alexandria database, functional PBE.

abc: 5.3420 5.3420 7.4714
angles: 90.00 90.00 90.00
Last column: nearest neighbours and their distance in Å.
Atoms (fractional coordinates):
Pr  0.0000  0.5000  0.2325  2 Al 3.19, 2 Pb 3.34, 1 Pr 3.47
Pr  0.0000  0.5000  0.7675  2 Al 3.19, 2 Pb 3.34, 1 Pr 3.47
Pr  0.5000  0.0000  0.2325  2 Al 3.19, 2 Pb 3.34, 1 Pr 3.47
Pr  0.5000  0.0000  0.7675  2 Al 3.19, 2 Pb 3.34, 1 Pr 3.47
Al  0.0000  0.0000  0.0000  8 Pr 3.19
Pb  0.5000  0.5000  0.5000  8 Pr 3.34

Results
total energy: -27.5 eV per formula unit
M_tot: 0.000 μB per atom